This record from Alexandria via LeMat-Bulk describes Ca2P2Br after structural relaxation. The functional is PBE-GGA.

POSCAR file:
```
Ca2P2Br
1.0
-1.457 -7.668 1.249
3.572 0.467 7.036
-3.423 0.923 1.676
P Ca Br
4 4 2
Cartesian
0.279 -0.002 5.158
0.645 -3.693 7.938
-1.587 -6.276 4.803
-1.953 -2.585 2.023
2.460 -2.064 6.161
1.239 -5.962 5.814
-0.346 -5.137 2.123
0.876 -1.238 2.471
0.000 0.000 0.000
1.057 -3.600 4.142
```

The energy above the most stable polymorph in this dataset is 0.000 eV/atom. The space group is P4/mbm. As for the uncorrected formation energy: -1.112 eV per atom.



This record from Alexandria via LeMat-Bulk describes Ca2TaSiO after structural relaxation. The functional is PBE-GGA.

POSCAR file:
```
Ca2TaSiO
1.0
-5.936 -0.911 -0.153
0.036 -0.861 3.726
-0.922 5.781 1.345
Ca Si O Ta
2 1 1 1
Cartesian
-0.461 2.891 0.672
-2.968 -0.455 -0.076
-3.410 2.005 2.459
0.018 -0.430 1.863
0.000 0.000 0.000
```

The space group is P4/mmm. As for the uncorrected formation energy: -0.057 eV per atom.



This record from Alexandria via LeMat-Bulk describes KNiN2 after structural relaxation. The functional is PBE-GGA.

POSCAR file:
```
KNiN2
1.0
1.793 0.000 6.525
-0.897 1.553 6.525
-0.897 -1.553 6.525
Ni K N
1 1 2
Cartesian
0.000 0.000 9.787
0.000 0.000 0.000
0.000 0.000 17.115
0.000 0.000 2.459
```

The energy above the most stable polymorph in this dataset is 0.355 eV/atom. The space group is R-3m. As for the uncorrected formation energy: 0.913 eV per atom.



This record from Alexandria via LeMat-Bulk describes Ac2Cu2BiO6 after structural relaxation. The functional is PBE-GGA.

POSCAR file:
```
Ac2Cu2BiO6
1.0
-4.484 -3.928 -1.055
-0.292 -2.908 -5.301
1.652 -6.565 0.054
Ac Cu Bi O
2 2 1 6
Cartesian
-2.762 -9.497 -5.007
-0.362 -3.904 -1.295
-0.828 -7.670 -2.659
-2.295 -5.731 -3.642
0.000 0.000 0.000
-3.089 -7.055 -4.744
-0.661 -4.928 -4.173
-2.931 -5.481 -1.873
-0.192 -7.921 -4.429
-2.462 -8.473 -2.129
-0.034 -6.346 -1.558
```

The space group is R-3m. As for the uncorrected formation energy: -1.679 eV per atom.



This record from Alexandria via LeMat-Bulk describes Ca2Cd6Ag3 after structural relaxation. The functional is PBE-GGA.

POSCAR file:
```
Ca2Cd6Ag3
1.0
4.458 0.000 0.000
0.000 8.403 0.000
0.000 -4.202 7.278
Ca Cd Ag
2 6 3
Cartesian
0.000 4.202 2.426
0.000 0.000 4.852
2.229 3.053 5.288
2.229 -1.148 1.989
0.000 0.855 1.481
0.000 6.694 0.000
2.229 2.297 0.000
0.000 -3.347 5.797
2.229 1.690 2.927
2.229 5.024 0.000
2.229 -2.512 4.351
```

The space group is P-62m.



This record from Alexandria via LeMat-Bulk describes RbScZnO3 after structural relaxation. The functional is PBE-GGA.

POSCAR file:
```
RbScZnO3
1.0
-1.396 2.264 1.998
-1.543 -5.413 5.055
7.720 3.116 1.862
Rb Sc Zn O
2 2 2 6
Cartesian
1.176 0.153 2.033
3.605 -0.186 6.882
-0.442 -2.613 4.036
5.223 2.579 4.879
4.197 1.884 2.182
0.583 -1.917 6.733
-1.188 -2.380 6.019
5.969 2.346 2.896
2.048 -2.390 5.524
2.732 2.357 3.391
-0.823 -0.448 4.086
5.603 0.415 4.829
```

The space group is P2_1/m. As for the uncorrected formation energy: -2.195 eV per atom.



This record from Alexandria via LeMat-Bulk describes BiSbSN2 after structural relaxation. The functional is PBE-GGA.

POSCAR file:
```
BiSbSN2
1.0
-2.541 2.618 -1.910
1.767 -0.916 -3.606
-3.370 -3.776 -0.692
Sb S Bi N
1 1 1 2
Cartesian
0.000 0.000 0.000
-1.685 -1.888 -0.346
-2.072 -1.037 -3.104
0.884 -0.458 -1.803
-1.271 1.309 -0.955
```

The energy above the most stable polymorph in this dataset is 0.000 eV/atom. The space group is P4/mmm. As for the uncorrected formation energy: 0.976 eV per atom.



This record from Alexandria via LeMat-Bulk describes LiP2RuAu after structural relaxation. The functional is PBE-GGA.

POSCAR file:
```
LiP2RuAu
1.0
-4.035 -0.378 -1.872
1.967 -1.940 -3.846
-0.460 -4.055 1.810
Ru Li Au P
1 1 1 2
Cartesian
0.000 0.000 0.000
0.983 -0.970 -1.923
-1.264 -3.187 -1.954
-0.230 -2.027 0.905
-2.017 -0.189 -0.936
```

The space group is P4/mmm.



This record from Alexandria via LeMat-Bulk describes ZnCr2Hg after structural relaxation. The functional is PBE-GGA.

POSCAR file:
```
ZnCr2Hg
1.0
3.320 0.000 0.000
0.000 3.320 0.000
0.000 0.000 5.519
Cr Hg Zn
2 1 1
Cartesian
0.000 0.000 5.150
0.000 0.000 3.129
1.660 1.660 1.380
1.660 1.660 4.139
```

The energy above the most stable polymorph in this dataset is 0.264 eV/atom. The space group is P4/mmm.



This record from Alexandria via LeMat-Bulk describes LiMg2Re after structural relaxation. The functional is PBE-GGA.

POSCAR file:
```
LiMg2Re
1.0
6.609 0.017 0.056
-2.722 4.210 -0.016
1.165 0.749 2.411
Li Mg Re
1 2 1
Cartesian
1.944 2.114 0.020
0.000 0.000 0.000
3.887 0.383 1.234
-0.778 2.479 1.197
```

The energy above the most stable polymorph in this dataset is 0.063 eV/atom. The space group is C2/m.



This record from Alexandria via LeMat-Bulk describes Zr3Ti4Si4 after structural relaxation. The functional is PBE-GGA.

POSCAR file:
```
Zr3Ti4Si4
1.0
-0.800 -0.237 3.475
-4.060 -6.340 -1.367
8.228 -0.655 0.012
Zr Ti Si
3 4 4
Cartesian
1.345 -0.915 0.247
2.023 -6.316 1.873
-2.030 -3.170 -0.683
4.616 -1.327 0.973
0.369 -3.379 1.693
-1.248 -5.904 1.148
2.999 -3.852 0.428
0.705 -5.030 -0.180
2.663 -2.201 2.301
-3.654 -5.199 0.642
-1.206 -1.377 1.466
```

The space group is Immm. As for the uncorrected formation energy: -0.651 eV per atom.



This record from Alexandria via LeMat-Bulk describes LaTlRe2 after structural relaxation. The functional is PBE-GGA.

POSCAR file:
```
LaTlRe2
1.0
-1.265 1.042 -2.516
-0.104 -2.985 0.309
-8.474 0.770 4.580
La Re Tl
1 2 1
Cartesian
-7.040 -0.394 2.331
-0.046 0.004 0.025
-4.190 0.381 2.265
-2.803 -0.779 0.041
```

The energy above the most stable polymorph in this dataset is 0.801 eV/atom. The space group is Cmmm.



This record from Alexandria via LeMat-Bulk describes CrPt4Br after structural relaxation. The functional is PBE-GGA.

POSCAR file:
```
CrPt4Br
1.0
-0.188 -5.198 -1.240
-0.032 -3.676 3.884
-4.436 -2.823 0.974
Cr Pt Br
1 4 1
Cartesian
0.000 0.000 0.000
-0.688 -5.899 1.774
-2.895 -5.472 0.315
-2.911 -7.314 2.262
-2.817 -4.709 2.883
-1.164 -2.924 0.904
```

The space group is F-43m. As for the uncorrected formation energy: 0.391 eV per atom.



This record from Alexandria via LeMat-Bulk describes GeNF3 after structural relaxation. The functional is PBE-GGA.

POSCAR file:
```
GeNF3
1.0
4.055 0.000 0.000
0.000 4.055 0.000
0.000 0.000 4.055
Ge N F
1 1 3
Cartesian
0.000 0.000 0.000
2.027 2.027 2.027
0.000 2.027 0.000
0.000 0.000 2.027
2.027 0.000 0.000
```

The space group is Pm-3m. As for the uncorrected formation energy: -0.602 eV per atom.



This record from Alexandria via LeMat-Bulk describes NpInGa2 after structural relaxation. The functional is PBE-GGA.

POSCAR file:
```
NpInGa2
1.0
-2.318 -1.376 -2.325
1.986 -2.944 -0.237
-3.545 -2.809 5.196
Np Ga In
1 2 1
Cartesian
-0.166 -2.160 -1.281
-2.592 -2.054 3.799
-0.953 -0.755 1.397
-1.938 -3.565 1.317
```

The energy above the most stable polymorph in this dataset is 0.152 eV/atom. The space group is P4/mmm.



This record from Alexandria via LeMat-Bulk describes Ho2PuAgO6 after structural relaxation. The functional is PBE-GGA.

POSCAR file:
```
Ho2PuAgO6
1.0
5.825 0.000 0.000
2.913 5.045 0.000
2.912 1.682 5.151
Ho Pu Ag O
2 1 1 6
Cartesian
5.825 3.363 2.153
2.912 1.682 4.956
2.913 1.682 0.202
8.738 5.045 3.266
4.851 1.616 1.161
4.799 5.080 1.161
7.825 3.393 1.161
6.459 4.835 3.924
6.783 2.079 3.924
4.234 3.176 3.924
```

The space group is R3. As for the uncorrected formation energy: -2.713 eV per atom.



This record from Alexandria via LeMat-Bulk describes Tm3UTl4S8 after structural relaxation. The functional is PBE-GGA.

POSCAR file:
```
Tm3UTl4S8
1.0
-4.946 6.212 -0.790
-1.098 0.246 8.801
7.494 0.498 -2.699
Tm U Tl S
3 1 4 8
Cartesian
-3.022 3.229 4.005
0.725 3.478 2.656
3.198 0.372 3.051
-0.549 0.123 4.401
-2.473 3.106 -0.395
1.274 3.355 -1.745
0.000 0.000 0.000
3.747 0.249 -1.350
5.290 2.098 3.335
1.579 1.852 4.672
2.365 2.015 1.041
2.841 5.175 2.944
-1.391 1.781 2.368
-0.916 4.940 4.270
-0.130 5.104 0.640
-3.841 4.857 1.976
```

The space group is R-3m. As for the uncorrected formation energy: -1.352 eV per atom.



This record from Alexandria via LeMat-Bulk describes BeCd2Cl6 after structural relaxation. The functional is PBE-GGA.

POSCAR file:
```
BeCd2Cl6
1.0
-6.476 1.499 0.714
-5.070 -7.438 -3.358
-2.363 -1.705 9.155
Be Cd Cl
2 4 12
Cartesian
-4.536 -2.502 6.776
-9.374 -5.142 -0.265
-5.463 -6.012 5.317
-4.733 -1.375 3.035
-8.446 -1.632 1.194
-9.177 -6.269 3.476
-6.723 -6.233 3.136
-4.353 -3.016 1.150
-7.187 -1.411 3.375
-9.557 -4.628 5.361
-10.453 -5.588 1.393
-7.875 -3.806 0.019
-3.457 -2.056 5.118
-6.035 -3.838 6.492
-4.271 -5.951 -2.323
-8.457 -6.798 -1.030
-9.639 -1.693 8.834
-5.453 -0.846 7.541
```

The space group is C2/c. As for the uncorrected formation energy: -1.170 eV per atom.



This record from Alexandria via LeMat-Bulk describes MoHPd2 after structural relaxation. The functional is PBE-GGA.

POSCAR file:
```
MoHPd2
1.0
-5.326 3.386 -1.046
-3.493 -5.334 0.520
-4.641 -0.585 2.174
H Mo Pd
2 2 4
Cartesian
-4.410 -0.974 -0.263
-6.272 -3.447 1.216
0.000 0.000 0.000
-7.188 0.913 0.432
-4.358 0.942 0.066
-4.577 -2.696 0.626
-7.160 -1.738 1.489
-10.826 -1.575 1.115
```

The energy above the most stable polymorph in this dataset is 0.330 eV/atom. The space group is I-42d.



This record from Alexandria via LeMat-Bulk describes NaVInBi2 after structural relaxation. The functional is PBE-GGA.

POSCAR file:
```
NaVInBi2
1.0
-4.920 -1.929 -1.459
0.231 -3.481 3.826
-2.406 3.570 3.394
Na V Bi In
1 1 2 1
Cartesian
0.000 0.000 0.000
0.115 -1.740 1.913
-1.203 1.785 1.697
-2.460 -0.965 -0.729
-3.548 -0.920 2.880
```

The space group is P4/mmm.



no.,calculated volume (A^3/atom),energy (eV per atom)
1,24.50,-4.412
2,27.60,-5.305
3,13.63,-4.969
4,16.73,-6.228
5,24.79,-1.802
6,17.06,-6.103
7,17.33,-4.780
8,18.87,-4.812
9,15.21,-4.692
10,16.72,-4.144
11,17.63,-7.825
12,19.80,-7.055
13,18.02,-5.519
14,13.33,-4.313
15,21.82,-5.389
16,15.13,-8.322
17,26.13,-5.551
18,30.73,-3.019
19,12.68,-5.816
20,31.12,-3.250